No. 1
The following is a PBE calculation of a relaxed structure of Tb2NdHg2, from Alexandria via LeMat-Bulk.

## Properties
- Excess energy over the best structure of this formula in the dataset: 0.75 eV/f.u.
- SG: P-3m1 (164)

```
Tb2NdHg2
1.0
5.2483 0.0000 0.0000
-2.6241 4.5451 0.0000
0.0000 0.0000 6.3811
Tb Nd Hg
2 1 2
Direct
0.3333 0.6667 0.1585
0.6667 0.3333 0.8415
0.0000 0.0000 0.5000
0.3333 0.6667 0.6770
0.6667 0.3333 0.3230
```

***

No. 2
The following is a PBE calculation of a relaxed structure of Tb5Nd12Hg2, from Alexandria via LeMat-Bulk.

## Properties
- SG: C2/m (12)

```
Tb5Nd12Hg2
1.0
7.7873 -4.6930 0.0000
7.7873 4.6930 0.0000
-0.5190 0.0000 8.6132
Tb Nd Hg
5 12 2
Direct
0.0000 0.0000 0.0000
0.2335 0.2335 0.0863
0.3157 0.3157 0.4971
0.6843 0.6843 0.5029
0.7665 0.7665 0.9137
0.0325 0.6649 0.2658
0.0823 0.0823 0.3837
0.1844 0.5707 0.8459
0.3351 0.9675 0.7342
0.4293 0.8156 0.1541
0.4433 0.4433 0.1917
0.5567 0.5567 0.8083
0.5707 0.1844 0.8459
0.6649 0.0325 0.2658
0.8156 0.4293 0.1541
0.9177 0.9177 0.6163
0.9675 0.3351 0.7342
0.3138 0.6862 0.5000
0.6862 0.3138 0.5000
```

***

No. 3
The following is a PBE calculation of a relaxed structure of TbNd4Hg4, from Alexandria via LeMat-Bulk.

## Properties
- SG: P4_2/n (86)

```
TbNd4Hg4
1.0
9.6203 0.0000 0.0000
0.0000 9.6203 0.0000
0.0000 0.0000 5.7555
Tb Nd Hg
2 8 8
Direct
0.2500 0.2500 0.2500
0.7500 0.7500 0.7500
0.0918 0.8373 0.6420
0.1627 0.5918 0.1420
0.3373 0.9082 0.1420
0.4082 0.6627 0.6420
0.5918 0.3373 0.3580
0.6627 0.0918 0.8580
0.8373 0.4082 0.8580
0.9082 0.1627 0.3580
0.0512 0.1477 0.8613
0.1477 0.4488 0.6387
0.3523 0.0512 0.6387
0.4488 0.3523 0.8613
0.5512 0.6477 0.1387
0.6477 0.9488 0.3613
0.8523 0.5512 0.3613
0.9488 0.8523 0.1387
```

***

No. 4
The following is a PBE calculation of a relaxed structure of TbNdHg5, from Alexandria via LeMat-Bulk.

## Properties
- SG: Cmmm (65)

```
TbNdHg5
1.0
6.5329 0.0000 0.0000
0.0000 6.5795 0.0000
0.0000 0.0000 8.8840
Tb Nd Hg
2 2 10
Direct
0.0000 0.0000 0.0000
0.5000 0.5000 0.0000
0.0000 0.5000 0.5000
0.5000 0.0000 0.5000
0.0000 0.5000 0.0000
0.2500 0.2500 0.2539
0.2500 0.2500 0.7461
0.2500 0.7500 0.2539
0.2500 0.7500 0.7461
0.5000 0.0000 0.0000
0.7500 0.2500 0.2539
0.7500 0.2500 0.7461
0.7500 0.7500 0.2539
0.7500 0.7500 0.7461
```

***

Table of DFT formation energy (eV/f.u.), in record order: -1.16 0.08 -2.37 -2.01
Table of DOS(E_F) (states/eV per atom), in record order: 1.38 1.53 0.77 0.58
Table of V (Å³/atom), in record order: 30.44 33.13 29.59 27.28